DFT (PBE) results for a relaxed Pm2HoPdO6 crystal.

a b c (Å): 5.695 5.842 5.908
angles (deg): 61.47 89.98 62.03
Space group P1 (No. 1)
Inequivalent atoms, fractional coordinates:
Pm 0.000 0.000 0.000 x1
Pm 0.495 0.994 0.514 x1
Ho 0.722 0.543 0.176 x1
Pd 0.209 0.565 0.649 x1
O 0.092 0.465 0.393 x1
O 0.340 0.706 0.865 x1
O 0.420 0.708 0.380 x1
O 0.601 0.033 0.876 x1
O 0.837 0.067 0.353 x1
O 0.940 0.474 0.866 x1

Values from the calculation:
The value obtained for the magnetization is 1.005 μB/cell. Its uncorrected formation energy is -2.59 eV/atom.